This record from Alexandria via LeMat-Bulk describes crystalline Mo5PtRh6 at its relaxed geometry. The functional is PBE.

Lattice parameters (Å, degrees): 3.891 7.299 7.299 106.39 105.46 105.46
Element x y z (fractional)
1 Mo 0.500 0.171 0.829
2 Mo 0.000 0.335 0.665
3 Mo 0.500 0.500 0.500
4 Mo 0.000 0.665 0.335
5 Mo 0.500 0.829 0.171
6 Rh 0.250 0.083 0.418
7 Rh 0.750 0.582 0.917
8 Rh 0.755 0.255 0.255
9 Rh 0.245 0.745 0.745
10 Rh 0.250 0.418 0.083
11 Rh 0.750 0.917 0.582
12 Pt 0.000 0.000 0.000

Results
Total magnetization in μB per cell: 0.00
Formation enthalpy at 0 K in eV/atom: -0.20
E in eV/atom: -8.89